Entry 1:
VASP calculation (SCAN) on a crystal of YBe2As relaxed with PBEsol.

Lattice parameters (Å, degrees): 3.945 3.949 3.949 90.00 90.00 90.00
Fractional positions:
1 Be 0.000 0.000 0.500
2 Be 0.000 0.500 0.000
3 As 0.500 0.000 0.000
4 Y 0.500 0.500 0.500

## Properties
**Symmetry**: No. 123
**Uncorrected energy**: -57.25 eV per cell
**Calculated density**: 4.9 g/cm³

---

Entry 2:
VASP calculation (SCAN) on a crystal of YBeAs relaxed with PBEsol.

Lattice parameters (Å, degrees): 4.217 4.217 4.217 60.00 60.00 60.00
Fractional positions:
1 Y 0.000 0.000 0.000
2 As 0.500 0.500 0.500
3 Be 0.250 0.250 0.250

## Properties
**Symmetry**: No. 216
**Uncorrected energy**: -53.18 eV per cell
**Calculated density**: 5.4 g/cm³

---

Entry 3:
VASP calculation (SCAN) on a crystal of BeZnAs2 relaxed with PBEsol.

Lattice parameters (Å, degrees): 3.563 4.736 4.736 61.83 67.91 67.91
Fractional positions:
1 As 0.791 0.209 0.209
2 As 0.209 0.791 0.791
3 Be 0.500 0.000 0.000
4 Zn 0.000 0.500 0.500

## Properties
**Symmetry**: No. 71
**Uncorrected energy**: -56.84 eV per cell
**Calculated density**: 5.9 g/cm³

---

- Which of these has the lowest uncorrected energy?
  YBe2As